# 1
Compound: PrY5Er
Source: Alexandria via LeMat-Bulk
Functional: PBE
Structure: relaxed

E_form, eV/f.u.: 1.28

```
14
Lattice="-5.3073 -1.5388 3.6400 5.7003 -2.1723 1.3784 1.7964 10.9765 7.2596" Properties=species:S:1:pos:R:3 pbc="T T T"
Pr -3.6189 1.5647 4.6050
Y -0.6251 4.6127 7.0719
Y 4.9139 0.2136 4.0406
Y 0.3267 7.0148 9.4709
Y 2.8144 2.6526 5.2061
Er 0.0000 0.0000 0.0000
Y 1.8626 0.2505 2.8071
Y 3.6960 8.1361 8.8473
Pr 5.8082 5.7007 7.6731
Y 2.7479 5.7350 6.4457
Y -0.5586 1.5304 5.8323
Y -1.5067 -0.8707 3.4308
Er 0.8982 5.4882 3.6298
Y -2.7246 7.0518 8.2374
```



# 2
Compound: HfOsF3
Source: Alexandria via LeMat-Bulk
Functional: PBE
Structure: relaxed

Formation energy without anion corrections, meV per atom: -19

```
5
Lattice="4.2545 0.0000 0.0000 0.0000 4.2545 0.0000 0.0000 0.0000 4.2545" Properties=species:S:1:pos:R:3 pbc="T T T"
Os 0.0000 0.0000 0.0000
F 2.1273 0.0000 0.0000
Hf 2.1273 2.1273 2.1273
F 0.0000 2.1273 0.0000
F 0.0000 0.0000 2.1273
```



# 3
Compound: ReN2F2
Source: Alexandria via LeMat-Bulk
Functional: PBE
Structure: relaxed

Formation energy without anion corrections, meV per atom: 88

```
10
Lattice="-3.7746 -3.1523 -1.1609 0.7403 -2.4838 4.3377 -2.5476 2.3871 1.8016" Properties=species:S:1:pos:R:3 pbc="T T T"
N -0.8895 -3.5816 3.4877
N -2.1449 -2.0545 -0.3108
Re -1.5172 -2.8180 1.5884
F -2.1196 -0.2284 1.5888
N -0.0131 -1.2986 1.7022
N -3.0213 -4.3375 1.4747
F -3.9783 -1.9005 1.1760
F -1.6037 -1.3485 3.8025
Re 0.0000 0.0000 0.0000
F -3.4624 -3.0206 3.3897
```